(1)
Entry from the Alexandria database: SnP4 after structural relaxation (GGA-PBE).

```
SnP4
1.0
4.8331 0.0000 0.0000
0.0000 5.8634 0.2425
0.0000 -1.1907 7.9700
P Sn
8 2
direct
0.1108 0.5931 0.4003 P
0.2175 0.2824 0.7562 P
0.2825 0.2824 0.2562 P
0.8892 0.4069 0.5997 P
0.6108 0.4069 0.0997 P
0.3892 0.5931 0.9003 P
0.7825 0.7176 0.2438 P
0.7175 0.7176 0.7438 P
0.0000 0.0000 0.0000 Sn
0.5000 0.0000 0.5000 Sn
```

Computed properties:
Energy of formation from the pure elements in eV per formula unit: 0.4
Space-group type: P2_1/c
Distance to the lowest polymorph of the same formula in eV/atom: 0.000


(2)
Entry from the Alexandria database: TaTiHg after structural relaxation (GGA-PBE).

```
TaTiHg
1.0
-0.3462 1.2611 -3.0647
-1.0651 -2.9539 -1.0952
-8.5913 -1.1211 11.3831
Ta Ti Hg
2 2 2
direct
0.5149 0.7499 0.9216 Ta
0.4851 0.2501 0.0784 Ta
0.5629 0.2497 0.7709 Ti
0.4371 0.7503 0.2291 Ti
0.4531 0.2503 0.4010 Hg
0.5469 0.7497 0.5990 Hg
```

Computed properties:
Energy of formation from the pure elements in eV per formula unit: -0.1
Space-group type: P4/nmm


(3)
Entry from the Alexandria database: TcPd3C after structural relaxation (GGA-PBE).

```
TcPd3C
1.0
-4.5656 -0.8574 -1.0722
1.2436 -4.1605 -1.9681
-0.5817 -2.1644 4.2079
Pd C Tc
3 1 1
direct
0.0000 0.0000 0.5000 Pd
0.5000 0.0000 0.0000 Pd
0.0000 0.5000 0.0000 Pd
0.5000 0.5000 0.5000 C
0.0000 0.0000 0.0000 Tc
```

Computed properties:
Energy of formation from the pure elements in eV per formula unit: 12.4
Space-group type: Pm-3m
Distance to the lowest polymorph of the same formula in eV/atom: 1.796


(4)
Entry from the Alexandria database: CsNaNpBr6 after structural relaxation (GGA-PBE).

```
CsNaNpBr6
1.0
-3.5035 1.5031 -6.5770
4.2943 -6.2359 0.6807
-12.7360 -8.2355 4.9023
Br Na Cs Np
12 2 2 2
direct
0.6182 0.6415 0.6485 Br
0.0233 0.6415 0.8515 Br
0.6415 0.6182 0.1485 Br
0.9767 0.6182 0.3515 Br
0.3818 0.3585 0.3515 Br
0.0233 0.3818 0.6485 Br
0.3818 0.0233 0.1485 Br
0.9767 0.3585 0.1485 Br
0.3585 0.3818 0.8515 Br
0.6415 0.0233 0.3515 Br
0.3585 0.9767 0.6485 Br
0.6182 0.9767 0.8515 Br
0.3333 0.6667 0.2500 Na
0.6667 0.3333 0.7500 Na
0.0000 0.0000 0.0000 Cs
0.0000 0.0000 0.5000 Cs
0.3333 0.6667 0.7500 Np
0.6667 0.3333 0.2500 Np
```

Computed properties:
Formation energy from raw total energies in eV per atom: -1.48
Space-group type: P-31c


(5)
Entry from the Alexandria database: KNp4Se8 after structural relaxation (GGA-PBE).

```
KNp4Se8
1.0
1.2069 -2.1431 -7.9311
0.8872 -5.6646 6.0064
-8.9057 1.9404 0.3768
Se Np K
8 4 1
direct
0.3218 0.4971 0.8189 Se
0.1776 0.0140 0.1916 Se
0.8307 0.4987 0.8122 Se
0.8224 0.9860 0.8084 Se
0.1693 0.5013 0.1878 Se
0.6782 0.5029 0.1811 Se
0.3135 0.9815 0.8122 Se
0.6865 0.0185 0.1878 Se
0.7432 0.2420 0.9852 Np
0.7521 0.7521 0.0000 Np
0.2568 0.7580 0.0148 Np
0.2479 0.2479 0.0000 Np
0.0000 0.5000 0.5000 K
```

Computed properties:
Formation energy from raw total energies in eV per atom: -1.15
Space-group type: C2/m


(6)
Entry from the Alexandria database: CaAlCd3 after structural relaxation (GGA-PBE).

```
CaAlCd3
1.0
1.7232 4.6013 1.7451
0.5732 -1.3163 5.0125
5.1609 -0.0325 1.7576
Cd Ca Al
3 1 1
direct
0.8862 0.3036 0.3155 Cd
0.9164 0.9164 0.0163 Cd
0.3036 0.8862 0.3155 Cd
0.5944 0.5944 0.8037 Ca
0.3006 0.3006 0.5466 Al
```

Computed properties:
Energy of formation from the pure elements in eV per formula unit: -0.6
Space-group type: Cm
Distance to the lowest polymorph of the same formula in eV/atom: 0.029


(7)
Entry from the Alexandria database: CuAs2W after structural relaxation (GGA-PBE).

```
CuAs2W
1.0
-0.4259 -4.5399 -1.2217
1.1444 0.5313 -2.3734
4.6612 -0.9821 2.0246
As W Cu
2 1 1
direct
0.0000 0.7523 0.4996 As
0.0000 0.7477 0.0004 As
0.5000 0.7500 0.7500 W
0.5000 0.2500 0.2500 Cu
```

Computed properties:
Energy of formation from the pure elements in eV per formula unit: 2.0
Space-group type: P2/m
Distance to the lowest polymorph of the same formula in eV/atom: 0.356


(8)
Entry from the Alexandria database: Pm2Y4Mg after structural relaxation (GGA-PBE).

```
Pm2Y4Mg
1.0
3.4913 0.0000 0.0000
0.0000 8.6667 0.1590
-1.7456 -3.9769 7.4082
Mg Y Pm
1 4 2
direct
0.0000 0.0000 0.0000 Mg
0.6327 0.4001 0.2654 Y
0.9218 0.2987 0.8436 Y
0.3673 0.5999 0.7346 Y
0.0782 0.7013 0.1564 Y
0.7806 0.8584 0.5612 Pm
0.2194 0.1416 0.4388 Pm
```

Computed properties:
Energy of formation from the pure elements in eV per formula unit: 0.6
Space-group type: C2/m
Distance to the lowest polymorph of the same formula in eV/atom: 0.000


(9)
Entry from the Alexandria database: ReGeH2 after structural relaxation (GGA-PBE).

```
ReGeH2
1.0
0.0000 2.6680 2.6680
2.6680 0.0000 2.6680
2.6680 2.6680 0.0000
H Re Ge
2 1 1
direct
0.2500 0.2500 0.2500 H
0.7500 0.7500 0.7500 H
0.5000 0.5000 0.5000 Re
0.0000 0.0000 0.0000 Ge
```

Computed properties:
Space-group type: Fm-3m
Distance to the lowest polymorph of the same formula in eV/atom: 0.791


(10)
Entry from the Alexandria database: NaNdTh2Sb4 after structural relaxation (GGA-PBE).

```
NaNdTh2Sb4
1.0
4.5477 0.0000 0.0000
0.0000 7.8812 0.1803
0.0000 -2.7466 7.3279
Na Sb Th Nd
1 4 2 1
direct
0.5000 0.5000 0.0000 Na
0.5000 0.7486 0.7475 Sb
0.5000 0.2514 0.2525 Sb
0.0000 0.7544 0.2591 Sb
0.0000 0.2456 0.7409 Sb
0.5000 0.0000 0.5000 Th
0.0000 0.5000 0.5000 Th
0.0000 0.0000 0.0000 Nd
```

Computed properties:
Formation energy from raw total energies in eV per atom: -0.83
Space-group type: P2/m


(11)
Entry from the Alexandria database: ErZrSi2 after structural relaxation (GGA-PBE).

```
ErZrSi2
1.0
3.8424 0.0000 0.0000
1.9212 3.3276 0.0000
1.9212 1.1092 6.7243
Zr Si Er
1 2 1
direct
0.0000 0.0000 0.0000 Zr
0.7443 0.7443 0.7671 Si
0.2557 0.2557 0.2329 Si
0.5000 0.5000 0.5000 Er
```

Computed properties:
Formation energy from raw total energies in eV per atom: -0.59
Space-group type: R-3m
Distance to the lowest polymorph of the same formula in eV/atom: 0.248


(12)
Entry from the Alexandria database: OsPtSe2N after structural relaxation (GGA-PBE).

```
OsPtSe2N
1.0
5.0160 0.0000 0.0000
0.0000 5.0160 0.0000
0.0000 0.0000 3.6324
Pt Os Se N
1 1 2 1
direct
0.5000 0.5000 0.5000 Pt
0.0000 0.0000 0.0000 Os
0.0000 0.5000 0.0000 Se
0.5000 0.0000 0.0000 Se
0.0000 0.0000 0.5000 N
```

Computed properties:
Formation energy from raw total energies in eV per atom: 0.69
Space-group type: P4/mmm
Distance to the lowest polymorph of the same formula in eV/atom: 0.000